1.
A relaxed RbCIN2 crystal. Source: the Alexandria database, functional PBE-GGA.

Output
ΔE to the lowest computed polymorph ... 811 meV/atom

Unit cell a=5.5285 b=5.5285 c=7.2504 alpha=90.00 beta=90.00 gamma=90.00
Last column: nearest neighbours and their distance in Å.
Positions (direct):
Rb: 0.0000 0.0000 0.0000  4 N 2.76
C: 0.5000 0.5000 0.5000  4 I 3.91
I: 0.0000 0.0000 0.5000  2 Rb 3.63, 4 C 3.91
N: 0.0000 0.5000 0.0000  2 Rb 2.76
N: 0.5000 0.0000 0.0000  2 Rb 2.76

***

2.
A relaxed Rb2CI6N crystal. Source: the Alexandria database, functional PBE-GGA.

Unit cell a=7.5529 b=7.5529 c=7.5529 alpha=120.09 beta=120.09 gamma=89.85
Last column: nearest neighbours and their distance in Å.
Positions (direct):
Rb: 0.2500 0.7500 0.5000  12 I 3.77-3.78
Rb: 0.7500 0.2500 0.5000  12 I 3.77-3.78
C: 0.0000 0.0000 0.0000  6 I 2.66-2.70
I: 0.2493 0.2493 0.4986  1 C 2.66, 1 N 2.67
I: 0.2493 0.7507 0.0000  1 C 2.66, 1 N 2.67
I: 0.2525 0.2525 0.0000  1 N 2.65, 1 C 2.70
I: 0.7475 0.7475 0.0000  1 N 2.65, 1 C 2.70
I: 0.7507 0.2493 0.0000  1 C 2.66, 1 N 2.67
I: 0.7507 0.7507 0.5014  1 C 2.66, 1 N 2.67
N: 0.5000 0.5000 0.0000  6 I 2.65-2.67

***

3.
A relaxed RbCI2N crystal. Source: the Alexandria database, functional PBE-GGA.

Output
ΔE to the lowest computed polymorph ... 0 meV/atom

Unit cell a=6.9757 b=6.9757 c=2.9189 alpha=90.00 beta=90.00 gamma=90.00
Last column: nearest neighbours and their distance in Å.
Positions (direct):
Rb: 0.0000 0.0000 0.0000  2 Rb 2.92
C: 0.5000 0.5000 0.5000  2 N 1.46
I: 0.0000 0.5000 0.5000  2 I 2.92
I: 0.5000 0.0000 0.5000  2 I 2.92
N: 0.5000 0.5000 0.0000  2 C 1.46

***

4.
A relaxed RbCIN2 crystal. Source: the Alexandria database, functional PBE-GGA.

Output
ΔE to the lowest computed polymorph ... 0 meV/atom

Unit cell a=4.6425 b=4.6425 c=4.7163 alpha=90.00 beta=90.00 gamma=90.00
Last column: nearest neighbours and their distance in Å.
Positions (direct):
Rb: 0.0000 0.0000 0.0000  4 I 3.28, 8 N 3.31
C: 0.5000 0.5000 0.5000  4 N 2.32, 2 I 2.36
I: 0.5000 0.5000 0.0000  2 C 2.36
N: 0.0000 0.5000 0.5000  2 C 2.32
N: 0.5000 0.0000 0.5000  2 C 2.32

***

5.
A relaxed RhCIN2 crystal. Source: the Alexandria database, functional PBE-GGA.

Output
ΔE to the lowest computed polymorph ... 0 meV/atom

Unit cell a=3.7012 b=3.7012 c=8.5924 alpha=90.00 beta=90.00 gamma=90.00
Last column: nearest neighbours and their distance in Å.
Positions (direct):
Rh: 0.0000 0.0000 0.0000  4 N 1.85
C: 0.5000 0.5000 0.5000  4 I 2.62
I: 0.0000 0.0000 0.5000  4 C 2.62
N: 0.0000 0.5000 0.0000  2 Rh 1.85
N: 0.5000 0.0000 0.0000  2 Rh 1.85

***

6.
A relaxed RhCIN2 crystal. Source: the Alexandria database, functional PBE-GGA.

Output
ΔE to the lowest computed polymorph ... 534 meV/atom

Unit cell a=3.6865 b=3.6865 c=4.6598 alpha=90.00 beta=90.00 gamma=90.00
Last column: nearest neighbours and their distance in Å.
Positions (direct):
Rh: 0.0000 0.0000 0.0000  4 I 2.61
C: 0.5000 0.5000 0.5000  4 N 1.84
I: 0.5000 0.5000 0.0000  2 C 2.33, 4 Rh 2.61
N: 0.0000 0.5000 0.5000  2 C 1.84
N: 0.5000 0.0000 0.5000  2 C 1.84

***

no.,uncorrected formation energy (meV per atom),calculated total energy (eV/atom)
1,3122.7,-2.556
2,328.8,-2.550
3,649.5,-3.674
4,2311.3,-3.367
5,2037.3,-4.918
6,2571.6,-4.384